The following is a PBE-GGA calculation of a relaxed structure of YGe2Bi2, from Alexandria via LeMat-Bulk.

Computed properties:
- ΔE to the lowest computed polymorph (meV per atom) = 0

Unit cell a=7.6446 b=7.6446 c=4.4638 alpha=90.00 beta=90.00 gamma=90.00
With the nearest neighbours (Å) after each atom.
Sites, in units of the cell vectors:
Y  0.0000  0.0000  0.0000  4 Ge 3.03
Y  0.5000  0.5000  0.0000  4 Ge 3.03
Ge  0.1230  0.3770  0.0000  1 Ge 2.66
Ge  0.3770  0.8770  0.0000  1 Ge 2.66
Ge  0.6230  0.1230  0.0000  1 Ge 2.66
Ge  0.8770  0.6230  0.0000  1 Ge 2.66
Bi  0.1832  0.6832  0.5000  6 Ge 3.06-3.27
Bi  0.3168  0.1832  0.5000  6 Ge 3.06-3.27
Bi  0.6832  0.8168  0.5000  6 Ge 3.06-3.27
Bi  0.8168  0.3168  0.5000  6 Ge 3.06-3.27

=====

The following is a PBE-GGA calculation of a relaxed structure of Y5GeBi2, from Alexandria via LeMat-Bulk.

Unit cell a=6.9102 b=6.9102 c=14.2254 alpha=90.00 beta=90.00 gamma=127.97
With the nearest neighbours (Å) after each atom.
Sites, in units of the cell vectors:
Y  0.0606  0.9394  0.6186  1 Ge 2.81, 2 Bi 3.10-3.14
Y  0.0606  0.9394  0.8814  1 Ge 2.81, 2 Bi 3.10-3.14
Y  0.3209  0.6791  0.2500  2 Bi 3.07, 2 Ge 3.09
Y  0.3742  0.6258  0.5903  1 Ge 2.90, 2 Bi 3.14
Y  0.3742  0.6258  0.9097  1 Ge 2.90, 2 Bi 3.14
Y  0.6258  0.3742  0.0903  1 Ge 2.90, 2 Bi 3.14
Y  0.6258  0.3742  0.4097  1 Ge 2.90, 2 Bi 3.14
Y  0.6791  0.3209  0.7500  2 Bi 3.07, 2 Ge 3.09
Y  0.9394  0.0606  0.1186  1 Ge 2.81, 2 Bi 3.10-3.14
Y  0.9394  0.0606  0.3814  1 Ge 2.81, 2 Bi 3.10-3.14
Ge  0.2295  0.7705  0.7500  6 Y 2.81-3.09
Ge  0.7705  0.2295  0.2500  6 Y 2.81-3.09
Bi  0.1859  0.8141  0.0695  6 Y 3.07-3.26
Bi  0.1859  0.8141  0.4305  6 Y 3.07-3.26
Bi  0.8141  0.1859  0.5695  6 Y 3.07-3.26
Bi  0.8141  0.1859  0.9305  6 Y 3.07-3.26

=====

The following is a PBE-GGA calculation of a relaxed structure of Y2GeBi, from Alexandria via LeMat-Bulk.

Computed properties:
- ΔE to the lowest computed polymorph (meV per atom) = 164

Unit cell a=8.1766 b=8.1766 c=8.1766 alpha=29.41 beta=29.41 gamma=29.41
With the nearest neighbours (Å) after each atom.
Sites, in units of the cell vectors:
Y  0.0000  0.0000  0.0000  3 Ge 2.99, 3 Bi 3.15
Y  0.1558  0.1558  0.1558  3 Ge 3.04, 3 Bi 3.20
Ge  0.4095  0.4095  0.4095  6 Y 2.99-3.04
Bi  0.5797  0.5797  0.5797  6 Y 3.15-3.20

=====

The following is a PBE-GGA calculation of a relaxed structure of Y2GeBi, from Alexandria via LeMat-Bulk.

Computed properties:
- ΔE to the lowest computed polymorph (meV per atom) = 258

Unit cell a=5.3235 b=5.3235 c=5.3235 alpha=60.00 beta=60.00 gamma=60.00
With the nearest neighbours (Å) after each atom.
Sites, in units of the cell vectors:
Y  0.2500  0.2500  0.2500  4 Bi 3.26, 4 Ge 3.26
Y  0.7500  0.7500  0.7500  4 Bi 3.26, 4 Ge 3.26
Ge  0.0000  0.0000  0.0000  8 Y 3.26
Bi  0.5000  0.5000  0.5000  8 Y 3.26

=====

The following is a PBE-GGA calculation of a relaxed structure of YGe2Bi2, from Alexandria via LeMat-Bulk.

Computed properties:
- ΔE to the lowest computed polymorph (meV per atom) = 158

Unit cell a=7.8493 b=7.8493 c=7.8493 alpha=147.36 beta=147.36 gamma=46.83
With the nearest neighbours (Å) after each atom.
Sites, in units of the cell vectors:
Y  0.0000  0.0000  0.0000  8 Ge 3.35
Ge  0.4157  0.4157  0.0000  1 Ge 2.43
Ge  0.5843  0.5843  0.0000  1 Ge 2.43
Bi  0.2500  0.7500  0.5000  4 Bi 3.12, 4 Ge 3.25
Bi  0.7500  0.2500  0.5000  4 Bi 3.12, 4 Ge 3.25

=====

The following is a PBE-GGA calculation of a relaxed structure of Y2GeBi, from Alexandria via LeMat-Bulk.

Computed properties:
- ΔE to the lowest computed polymorph (meV per atom) = 210

Unit cell a=6.6819 b=6.6819 c=6.6819 alpha=105.86 beta=105.86 gamma=116.96
With the nearest neighbours (Å) after each atom.
Sites, in units of the cell vectors:
Y  0.0978  0.6250  0.9728  2 Ge 2.84, 2 Bi 3.13
Y  0.3750  0.3478  0.4728  2 Ge 2.84, 2 Bi 3.13
Y  0.6522  0.1250  0.0272  2 Ge 2.84, 2 Bi 3.13
Y  0.8750  0.9022  0.5272  2 Ge 2.84, 2 Bi 3.13
Ge  0.0000  0.0000  0.0000  4 Y 2.84
Ge  0.7500  0.2500  0.5000  4 Y 2.84
Bi  0.2500  0.7500  0.5000  4 Y 3.13, 2 Ge 3.49
Bi  0.5000  0.5000  0.0000  4 Y 3.13, 2 Ge 3.49

=====

Quick rundown of magnetic moment, same order as above: 0.000, 0.000, 0.000, 0.000, 0.000, 0.000 μB/atom
Quick rundown of energy of formation, same order as above: -0.150, -0.392, -0.628, -0.534, 0.008, -0.583 eV per atom